--- P ---
Below is crystalline Ca2NdSn at its relaxed geometry, with properties calculated at the PBE level.

```
Ca2NdSn
1.0
4.918 0.000 0.000
0.000 4.918 0.000
0.000 0.000 5.203
Ca Nd Sn
2 1 1
direct
0.000 0.500 0.000
0.500 0.000 0.000
0.000 0.000 0.500
0.500 0.500 0.500
```

Results
The density of states at the Fermi level comes out at 0.8141 states/eV per atom. The magnetization comes out at 0.000 μB/atom.

---

--- Q ---
Below is crystalline Ca2NdSn at its relaxed geometry, with properties calculated at the PBE level.

```
Ca2NdSn
1.0
0.000 3.970 3.970
3.970 0.000 3.970
3.970 3.970 0.000
Ca Nd Sn
2 1 1
direct
0.250 0.250 0.250
0.750 0.750 0.750
0.000 0.000 0.000
0.500 0.500 0.500
```

Results
The density of states at the Fermi level comes out at 1.2957 states/eV per atom. The magnetization comes out at 0.581 μB/atom.

---

Short version: Q is the least stable of them.

---

--- P ---
Below is crystalline CaNd2Sn at its relaxed geometry, with properties calculated at the PBE level.

```
CaNd2Sn
1.0
1.802 1.040 12.258
-1.802 1.040 12.258
0.000 -2.081 12.258
Ca Nd Sn
1 2 1
direct
0.000 0.000 0.000
0.096 0.096 0.096
0.904 0.904 0.904
0.500 0.500 0.500
```

Results
The density of states at the Fermi level comes out at 1.3292 states/eV per atom. The magnetization comes out at 0.000 μB/atom.

---

--- Q ---
Below is crystalline CaNd2Sn at its relaxed geometry, with properties calculated at the PBE level.

```
CaNd2Sn
1.0
0.000 3.942 3.942
3.942 0.000 3.942
3.942 3.942 0.000
Ca Nd Sn
1 2 1
direct
0.000 0.000 0.000
0.250 0.250 0.250
0.750 0.750 0.750
0.500 0.500 0.500
```

Results
The density of states at the Fermi level comes out at 1.2778 states/eV per atom. The magnetization comes out at 0.000 μB/atom.

---

--- R ---
Below is crystalline CaNd2Sn at its relaxed geometry, with properties calculated at the PBE level.

```
CaNd2Sn
1.0
4.279 0.000 0.000
0.000 4.279 0.000
0.000 0.000 6.988
Ca Nd Sn
1 2 1
direct
0.000 0.000 0.000
0.500 0.500 0.279
0.500 0.500 0.721
0.000 0.000 0.500
```

Results
The density of states at the Fermi level comes out at 1.2804 states/eV per atom. The magnetization comes out at 0.000 μB/atom.

---

--- S ---
Below is crystalline CaNd2Sn at its relaxed geometry, with properties calculated at the PBE level.

```
CaNd2Sn
1.0
5.013 0.000 0.000
0.000 5.013 0.000
0.000 0.000 4.912
Ca Nd Sn
1 2 1
direct
0.000 0.000 0.000
0.000 0.500 0.500
0.500 0.000 0.500
0.500 0.500 0.000
```

Results
The density of states at the Fermi level comes out at 0.8889 states/eV per atom. The magnetization comes out at 0.000 μB/atom.

---

Short version: P is the least stable of them.

---

--- P ---
Below is crystalline CaNdSn4 at its relaxed geometry, with properties calculated at the PBE level.

```
CaNdSn4
1.0
2.427 -10.993 0.000
2.427 10.993 0.000
0.000 0.000 6.571
Ca Nd Sn
2 2 8
direct
0.225 0.775 0.750
0.775 0.225 0.250
0.071 0.929 0.250
0.929 0.071 0.750
0.080 0.920 0.750
0.350 0.650 0.008
0.350 0.650 0.492
0.500 0.500 0.000
0.500 0.500 0.500
0.650 0.350 0.508
0.650 0.350 0.992
0.920 0.080 0.250
```

Results
The density of states at the Fermi level comes out at 0.4948 states/eV per atom. The magnetization comes out at 0.000 μB/atom.

---

--- Q ---
Below is crystalline CaNdSn4 at its relaxed geometry, with properties calculated at the PBE level.

```
CaNdSn4
1.0
0.000 4.421 4.421
4.421 0.000 4.421
4.421 4.421 0.000
Ca Nd Sn
1 1 4
direct
0.000 0.000 0.000
0.250 0.250 0.250
0.125 0.625 0.625
0.625 0.125 0.625
0.625 0.625 0.125
0.625 0.625 0.625
```

Results
The density of states at the Fermi level comes out at 0.9922 states/eV per atom. The magnetization comes out at 0.000 μB/atom.

---

Short version: Q is the least stable of them.

---

--- P ---
Below is crystalline CaNdTlSn at its relaxed geometry, with properties calculated at the PBE level.

```
CaNdTlSn
1.0
4.434 0.000 0.000
0.000 5.078 0.000
0.000 0.000 5.174
Ca Nd Tl Sn
1 1 1 1
direct
0.000 0.000 0.000
0.000 0.500 0.500
0.500 0.500 0.000
0.500 0.000 0.500
```

Results
The density of states at the Fermi level comes out at 0.5555 states/eV per atom. The magnetization comes out at 0.000 μB/atom.

---

--- Q ---
Below is crystalline CaNdTlSn at its relaxed geometry, with properties calculated at the PBE level.

```
CaNdTlSn
1.0
0.000 3.886 3.886
3.886 0.000 3.886
3.886 3.886 0.000
Ca Nd Tl Sn
1 1 1 1
direct
0.000 0.000 0.000
0.500 0.500 0.500
0.250 0.250 0.250
0.750 0.750 0.750
```

Results
The density of states at the Fermi level comes out at 0.6122 states/eV per atom. The magnetization comes out at 0.000 μB/atom.

---

Short version: Q is the least stable of them.

---

--- P ---
Below is crystalline Sr2CaNd at its relaxed geometry, with properties calculated at the PBE level.

```
Sr2CaNd
1.0
0.000 4.463 4.463
4.463 0.000 4.463
4.463 4.463 0.000
Sr Ca Nd
2 1 1
direct
0.250 0.250 0.250
0.750 0.750 0.750
0.000 0.000 0.000
0.500 0.500 0.500
```

Results
The density of states at the Fermi level comes out at 1.2641 states/eV per atom. The magnetization comes out at 0.000 μB/atom.

---

--- Q ---
Below is crystalline Sr2CaNd at its relaxed geometry, with properties calculated at the PBE level.

```
Sr2CaNd
1.0
1.936 1.118 14.034
-1.936 1.118 14.034
0.000 -2.235 14.034
Sr Ca Nd
2 1 1
direct
0.087 0.087 0.087
0.913 0.913 0.913
0.500 0.500 0.500
0.000 0.000 0.000
```

Results
The density of states at the Fermi level comes out at 1.3391 states/eV per atom. The magnetization comes out at 0.163 μB/atom.

---

Short version: Q is the least stable of them.

---

--- P ---
Below is crystalline Sr2CaNd at its relaxed geometry, with properties calculated at the PBE level.

```
Sr2CaNd
1.0
6.326 0.000 0.000
0.000 6.326 0.000
0.000 0.000 4.417
Sr Ca Nd
2 1 1
direct
0.000 0.500 0.000
0.500 0.000 0.000
0.000 0.000 0.500
0.500 0.500 0.500
```

Results
The density of states at the Fermi level comes out at 1.0693 states/eV per atom. The magnetization comes out at 0.000 μB/atom.

---

--- Q ---
Below is crystalline Sr2CaNd at its relaxed geometry, with properties calculated at the PBE level.

```
Sr2CaNd
1.0
1.982 1.145 13.198
-1.982 1.145 13.198
0.000 -2.289 13.198
Sr Ca Nd
2 1 1
direct
0.000 0.000 0.000
0.171 0.171 0.171
0.419 0.419 0.419
0.586 0.586 0.586
```

Results
The density of states at the Fermi level comes out at 1.5869 states/eV per atom. The magnetization comes out at 0.000 μB/atom.

---

Short version: P is the least stable of them.